This record from Alexandria via LeMat-Bulk describes a relaxed structure of V2BrF. The functional is PBE+U. Values from VASP.

The structure in Quantum ESPRESSO input format:
```
&SYSTEM
  ibrav = 0, nat = 8, ntyp = 3
/
ATOMIC_SPECIES
V 50.94 V.upf
F 19.00 F.upf
Br 79.90 Br.upf
CELL_PARAMETERS angstrom
-1.636 4.986 -0.562
-1.002 0.254 5.175
4.680 4.707 3.366
ATOMIC_POSITIONS crystal
V 0.375 0.473 0.750
V 0.223 0.625 0.250
V 0.875 0.777 0.750
V 0.527 0.125 0.250
F 0.500 0.500 0.000
F 0.250 0.750 0.500
Br 0.000 0.000 0.000
Br 0.750 0.250 0.500
```

Calculated values
Energy above the lowest structure with this stoichiometry, eV per atom: 0.000
E, eV per atom: -4.938